{
  "formula": "Ni2HgOs",
  "functional": "PBE",
  "state": "optimized geometry",
  "ef_mev_per_atom": 868,
  "lattice_angstrom": [[6.816, 0.000, 0.000], [0.000, 6.816, 0.000], [0.000, 0.000, 5.425]],
  "species": ["Ni", "Ni", "Ni", "Ni", "Ni", "Ni", "Ni", "Ni", "Hg", "Hg", "Hg", "Hg", "Os", "Os", "Os", "Os"],
  "frac_coords": [[0.221, 0.250, 0.125], [0.250, 0.721, 0.375], [0.250, 0.779, 0.875], [0.279, 0.250, 0.625], [0.721, 0.750, 0.625], [0.750, 0.221, 0.875], [0.750, 0.279, 0.375], [0.779, 0.750, 0.125], [0.000, 0.000, 0.500], [0.000, 0.500, 0.750], [0.500, 0.000, 0.250], [0.500, 0.500, 0.000], [0.000, 0.000, 0.000], [0.000, 0.500, 0.250], [0.500, 0.000, 0.750], [0.500, 0.500, 0.500]]
}

{
  "formula": "NiHgOs2",
  "functional": "PBE",
  "state": "optimized geometry",
  "ef_mev_per_atom": 424,
  "lattice_angstrom": [[2.804, 0.000, 0.000], [0.000, 3.757, 0.000], [0.000, 0.000, 5.801]],
  "species": ["Ni", "Hg", "Os", "Os"],
  "frac_coords": [[0.000, 0.000, 0.000], [0.500, 0.500, 0.752], [0.000, 0.000, 0.436], [0.500, 0.500, 0.243]]
}

{
  "formula": "NiHgOs2",
  "functional": "PBE",
  "state": "optimized geometry",
  "ef_mev_per_atom": 571,
  "lattice_angstrom": [[8.936, 0.000, 0.000], [0.000, 2.791, 0.000], [-0.770, 0.000, 4.904]],
  "species": ["Ni", "Ni", "Hg", "Hg", "Os", "Os", "Os", "Os"],
  "frac_coords": [[0.000, 0.000, 0.000], [0.500, 0.500, 0.000], [0.254, 0.500, 0.236], [0.754, 0.000, 0.236], [0.014, 0.500, 0.566], [0.257, 0.000, 0.739], [0.514, 0.000, 0.566], [0.757, 0.500, 0.739]]
}

no.,magnetization (μB/f.u.),total DFT energy (no corrections) (eV/atom)
1,0.001,-4.9060
2,0.000,-6.7112
3,0.000,-6.5648